(1)
The following is a DFT calculation (PBE) of crystalline SbSI3 at its relaxed geometry.

Cell: 5.5242 5.5242 5.5242 Å, 90.00 90.00 90.00°
Closest atoms and distances in Å follow each position.
Positions (direct):
Sb (0.0000, 0.0000, 0.0000)  12 I 3.91
S (0.5000, 0.5000, 0.5000)  6 I 2.76
I (0.0000, 0.5000, 0.5000)  2 S 2.76
I (0.5000, 0.0000, 0.5000)  2 S 2.76
I (0.5000, 0.5000, 0.0000)  2 S 2.76

Computed properties:
DFT total energy   -2.052 eV/atom
Offset from the most stable computed form   88.9 meV/atom
DOS at the Fermi energy   4.05 states/eV/cell
Density   5.27 g/cm3
Space-group type   Pm-3m (221)
Formation energy (no corrections)   528 meV per atom



(2)
The following is a DFT calculation (PBE) of crystalline NdScZn at its relaxed geometry.

Cell: 4.8475 4.8475 3.7547 Å, 90.00 90.00 120.00°
Closest atoms and distances in Å follow each position.
Positions (direct):
Nd (0.0000, 0.0000, 0.0000)  6 Zn 3.36-3.38, 6 Sc 3.37, 2 Nd 3.75
Sc (0.3333, 0.6667, 0.5007)  3 Zn 2.80
Zn (0.6667, 0.3333, 0.4969)  3 Sc 2.80

Computed properties:
DFT total energy   -4.202 eV/atom
Offset from the most stable computed form   106.8 meV/atom
DOS at the Fermi energy   5.01 states/eV/cell
ΔE_f   -0.078 eV per atom
Density   5.53 g/cm3
Space-group type   P3m1 (156)